(1)
Pm12Nd3Zn: optimized geometry, PBE-GGA.

## Properties
* ΔH_f (0 K): 0.02 eV/atom

Lattice parameters (Å, degrees): 5.086 5.086 20.511 90.00 90.00 90.00
Positions (direct):
Pm 0.000 0.000 0.000
Pm 0.000 0.000 0.241
Pm 0.000 0.000 0.500
Pm 0.000 0.000 0.759
Pm 0.000 0.500 0.116
Pm 0.000 0.500 0.372
Pm 0.000 0.500 0.628
Pm 0.000 0.500 0.884
Pm 0.500 0.000 0.116
Pm 0.500 0.000 0.372
Pm 0.500 0.000 0.628
Pm 0.500 0.000 0.884
Nd 0.500 0.500 0.244
Nd 0.500 0.500 0.500
Nd 0.500 0.500 0.756
Zn 0.500 0.500 0.000



(2)
Ti3CdAs: optimized geometry, PBE-GGA.

## Properties
* distance to the lowest polymorph of the same formula: 0 meV per atom
* ΔH_f (0 K): 0.05 eV/atom

Lattice parameters (Å, degrees): 4.714 4.714 4.714 90.00 90.00 90.00
Positions (direct):
Ti 0.000 0.000 0.500
Ti 0.000 0.500 0.000
Ti 0.500 0.000 0.000
Cd 0.500 0.500 0.500
As 0.000 0.000 0.000



(3)
Cd2PAu: optimized geometry, PBE-GGA.

## Properties
* ΔH_f (0 K): 0.10 eV/atom

Lattice parameters (Å, degrees): 4.073 4.073 18.626 90.00 90.00 120.00
Positions (direct):
Cd 0.000 0.000 0.000
Cd 0.000 0.000 0.229
Cd 0.333 0.667 0.667
Cd 0.333 0.667 0.895
Cd 0.667 0.333 0.333
Cd 0.667 0.333 0.562
P 0.000 0.000 0.465
P 0.333 0.667 0.132
P 0.667 0.333 0.798
Au 0.000 0.000 0.762
Au 0.333 0.667 0.428
Au 0.667 0.333 0.095



(4)
U6P5Se: optimized geometry, PBE-GGA.

Lattice parameters (Å, degrees): 6.850 6.850 6.846 99.62 99.62 120.11
Positions (direct):
U 0.072 0.414 0.743
U 0.242 0.242 0.253
U 0.414 0.072 0.743
U 0.586 0.928 0.257
U 0.758 0.758 0.747
U 0.928 0.586 0.257
P 0.000 0.000 0.500
P 0.167 0.833 0.000
P 0.338 0.662 0.500
P 0.662 0.338 0.500
P 0.833 0.167 0.000
Se 0.500 0.500 0.000



(5)
Pm2Y4Ho2Er: optimized geometry, PBE-GGA.

## Properties
* ΔH_f (0 K): 0.01 eV/atom

Lattice parameters (Å, degrees): 9.531 9.531 9.581 115.29 115.29 21.80
Positions (direct):
Pm 0.148 0.148 0.167
Pm 0.852 0.852 0.833
Y 0.185 0.185 0.832
Y 0.482 0.482 0.169
Y 0.518 0.518 0.831
Y 0.815 0.815 0.168
Ho 0.334 0.334 0.500
Ho 0.666 0.666 0.500
Er 0.000 0.000 0.500



(6)
YSbMoI2: optimized geometry, PBE-GGA.

## Properties
* distance to the lowest polymorph of the same formula: 455 meV per atom

Lattice parameters (Å, degrees): 5.762 5.762 6.192 90.00 90.00 90.00
Positions (direct):
Y 0.000 0.000 0.000
Sb 0.500 0.500 0.500
Mo 0.000 0.000 0.500
I 0.000 0.500 0.000
I 0.500 0.000 0.000



no.,calculated total energy (eV for the cell shown),magnetic moment (μB/f.u.)
1,-72.3,0.0
2,-29.0,0.0
3,-30.3,0.0
4,-110.0,12.6
5,-49.0,0.0
6,-20.4,4.2